# GeOsF2

A relaxed GeOsF2 crystal (GGA-PBE, Alexandria via LeMat-Bulk).

The structure in POSCAR format:
```
GeOsF2
1.0
0.000 3.009 3.009
3.009 0.000 3.009
3.009 3.009 0.000
F Ge Os
2 1 1
Direct
0.750 0.750 0.750 F
0.250 0.250 0.250 F
0.000 0.000 0.000 Ge
0.500 0.500 0.500 Os
```

Values from the calculation:
- energy relative to the lowest polymorph listed for this composition (eV/f.u.) = 3.77
- D(E_F) (states/eV per cell) = 1.90
- final energy (eV/cell) = -18.8
- energy relative to the elements, uncorrected (kcal/mol of atoms) = 4.59

# Ge2Os2F

A relaxed Ge2Os2F crystal (GGA-PBE, Alexandria via LeMat-Bulk).

The structure in POSCAR format:
```
Ge2Os2F
1.0
4.937 0.000 0.000
0.000 4.937 0.000
2.468 2.468 3.517
F Os Ge
1 2 2
Direct
0.000 0.000 0.000 F
0.339 0.339 0.323 Os
0.661 0.661 0.677 Os
0.250 0.750 0.500 Ge
0.750 0.250 0.500 Ge
```

Values from the calculation:
- energy relative to the lowest polymorph listed for this composition (eV/f.u.) = 0.40
- D(E_F) (states/eV per cell) = 4.27
- final energy (eV/cell) = -32.9
- energy relative to the elements, uncorrected (kcal/mol of atoms) = 3.04

# GeOs3F

A relaxed GeOs3F crystal (GGA-PBE, Alexandria via LeMat-Bulk).

The structure in POSCAR format:
```
GeOs3F
1.0
4.592 0.000 0.000
0.000 4.592 0.000
0.000 0.000 4.592
F Os Ge
1 3 1
Direct
0.500 0.500 0.500 F
0.500 0.000 0.000 Os
0.000 0.500 0.000 Os
0.000 0.000 0.500 Os
0.000 0.000 0.000 Ge
```

Values from the calculation:
- energy relative to the lowest polymorph listed for this composition (eV/f.u.) = 1.69
- D(E_F) (states/eV per cell) = 5.54
- final energy (eV/cell) = -29.8
- energy relative to the elements, uncorrected (kcal/mol of atoms) = 47.99